# BiSbO2

A geometry-optimized BiSbO2 structure (PBE, Alexandria via LeMat-Bulk).

Lattice parameters (Å, degrees): 3.5055 3.5055 21.2823 90.00 90.00 120.00
Space group R-3m (No. 166, hexagonal axes)
Asymmetric unit:
Bi 0.0000 0.0000 0.0000 [3 per cell]
Sb 0.0000 0.0000 0.5000 [3 per cell]
O 0.0000 0.0000 0.1117 [6 per cell]

VASP energy: -63.17 eV/cell
distance to the lowest polymorph of the same formula: 50.5 meV/atom
ΔE_f (raw): -0.78 eV/atom
calculated volume: 18.87 Å³ per atom



# BiSbO2

A geometry-optimized BiSbO2 structure (PBE, Alexandria via LeMat-Bulk).

Lattice parameters (Å, degrees): 5.684 5.684 10.336 90.00 90.00 90.00
Space group I-42d (No. 122)
Asymmetric unit:
Bi 0.000 0.000 0.000 [4 per cell]
Sb 0.000 0.000 0.500 [4 per cell]
O 0.159 0.250 0.625 [8 per cell]

VASP energy: -79.49 eV/cell
distance to the lowest polymorph of the same formula: 347.0 meV/atom
ΔE_f (raw): -0.49 eV/atom
calculated volume: 20.87 Å³ per atom



# Bi2SbO6

A geometry-optimized Bi2SbO6 structure (PBE, Alexandria via LeMat-Bulk).

Lattice parameters (Å, degrees): 4.217 4.217 15.984 90.00 90.00 90.00
Space group I-42m (No. 121)
Asymmetric unit:
Bi 0.000 0.000 0.177 [4 per cell]
Sb 0.000 0.000 0.500 [2 per cell]
O 0.000 0.500 0.250 [4 per cell]
O 0.241 0.241 0.578 [8 per cell]

VASP energy: -100.22 eV/cell
distance to the lowest polymorph of the same formula: 100.7 meV/atom
ΔE_f (raw): -0.94 eV/atom
calculated volume: 15.79 Å³ per atom



# BiSbO

A geometry-optimized BiSbO structure (PBE, Alexandria via LeMat-Bulk).

Lattice parameters (Å, degrees): 7.234 6.635 6.433 90.00 91.85 90.00
Space group P2_1/c (No. 14)
Asymmetric unit:
Bi 0.190 0.095 0.378 [4 per cell]
Sb 0.303 0.532 0.346 [4 per cell]
O 0.418 0.532 0.678 [4 per cell]

VASP energy: -56.75 eV/cell
ΔE_f (raw): -0.41 eV/atom
calculated volume: 25.72 Å³ per atom



# Sc2BiSbO8

A geometry-optimized Sc2BiSbO8 structure (PBE, Alexandria via LeMat-Bulk).

Lattice parameters (Å, degrees): 6.741 7.022 6.502 90.00 90.00 90.00
Space group Cmmm (No. 65)
Asymmetric unit:
Sc 0.000 0.000 0.243 [4 per cell]
Bi 0.000 0.500 0.500 [2 per cell]
Sb 0.000 0.500 0.000 [2 per cell]
O 0.000 0.308 0.236 [8 per cell]
O 0.190 0.000 0.500 [4 per cell]
O 0.204 0.000 0.000 [4 per cell]

VASP energy: -171.88 eV/cell
ΔE_f (raw): -2.13 eV/atom
calculated volume: 12.83 Å³ per atom



# BiSbSe2O

A geometry-optimized BiSbSe2O structure (PBE, Alexandria via LeMat-Bulk).

Lattice parameters (Å, degrees): 4.031 4.031 14.652 90.00 90.00 90.00
Space group P4/nmm (No. 129, origin choice 2)
Asymmetric unit:
Bi 0.250 0.250 0.086 [2 per cell]
Sb 0.250 0.250 0.636 [2 per cell]
Se 0.250 0.250 0.393 [2 per cell]
Se 0.250 0.250 0.812 [2 per cell]
O 0.250 0.750 0.000 [2 per cell]

VASP energy: -46.03 eV/cell
ΔE_f (raw): -0.62 eV/atom
calculated volume: 23.81 Å³ per atom



# SiBi2SbO

A geometry-optimized SiBi2SbO structure (PBE, Alexandria via LeMat-Bulk).

Lattice parameters (Å, degrees): 5.877 5.877 5.050 90.00 90.00 90.00
Space group P4/mmm (No. 123)
Asymmetric unit:
Si 0.000 0.000 0.000 [1 per cell]
Bi 0.000 0.500 0.500 [2 per cell]
Sb 0.000 0.000 0.500 [1 per cell]
O 0.500 0.500 0.000 [1 per cell]

VASP energy: -15.38 eV/cell
ΔE_f (raw): 1.38 eV/atom
calculated volume: 34.88 Å³ per atom



# Si2BiSbO

A geometry-optimized Si2BiSbO structure (PBE, Alexandria via LeMat-Bulk).

Lattice parameters (Å, degrees): 5.266 5.266 4.016 90.00 90.00 90.00
Space group P4/mmm (No. 123)
Asymmetric unit:
Si 0.000 0.500 0.000 [2 per cell]
Bi 0.000 0.000 0.500 [1 per cell]
Sb 0.500 0.500 0.000 [1 per cell]
O 0.500 0.500 0.500 [1 per cell]

VASP energy: -22.04 eV/cell
ΔE_f (raw): 0.35 eV/atom
calculated volume: 22.27 Å³ per atom



# SnBiSbO6

A geometry-optimized SnBiSbO6 structure (PBE, Alexandria via LeMat-Bulk).

Lattice parameters (Å, degrees): 5.4206 5.4206 10.0197 90.00 90.00 120.00
Space group P-31c (No. 163)
Asymmetric unit:
Sn 0.3333 0.6667 0.2500 [2 per cell]
Bi 0.0000 0.0000 0.0000 [2 per cell]
Sb 0.3333 0.6667 0.7500 [2 per cell]
O 0.0105 0.3690 0.6388 [12 per cell]

VASP energy: -110.05 eV/cell
ΔE_f (raw): -1.47 eV/atom
calculated volume: 14.16 Å³ per atom



# Sr6Bi2SbO

A geometry-optimized Sr6Bi2SbO structure (PBE, Alexandria via LeMat-Bulk).

Lattice parameters (Å, degrees): 5.913 5.913 11.078 90.00 90.00 90.00
Space group P4/mmm (No. 123)
Asymmetric unit:
Sr 0.000 0.000 0.216 [2 per cell]
Sr 0.000 0.500 0.000 [2 per cell]
Sr 0.000 0.500 0.500 [2 per cell]
Bi 0.500 0.500 0.222 [2 per cell]
Sb 0.000 0.000 0.500 [1 per cell]
O 0.000 0.000 0.000 [1 per cell]

VASP energy: -36.80 eV/cell
ΔE_f (raw): -0.99 eV/atom
calculated volume: 38.73 Å³ per atom



# SrBi2SbO6

A geometry-optimized SrBi2SbO6 structure (PBE, Alexandria via LeMat-Bulk).

Lattice parameters (Å, degrees): 6.137 6.138 6.140 60.25 60.28 60.18
Space group P1 (No. 1)
Asymmetric unit:
Sr 0.000 0.000 0.000 [1 per cell]
Bi 0.225 0.226 0.225 [1 per cell]
Bi 0.731 0.731 0.731 [1 per cell]
Sb 0.519 0.520 0.519 [1 per cell]
O 0.152 0.406 0.825 [1 per cell]
O 0.358 0.866 0.619 [1 per cell]
O 0.406 0.825 0.152 [1 per cell]
O 0.620 0.360 0.864 [1 per cell]
O 0.825 0.153 0.405 [1 per cell]
O 0.865 0.620 0.359 [1 per cell]

VASP energy: -58.66 eV/cell
ΔE_f (raw): -1.53 eV/atom
calculated volume: 16.44 Å³ per atom



# SrBiSbO6

A geometry-optimized SrBiSbO6 structure (PBE, Alexandria via LeMat-Bulk).

Lattice parameters (Å, degrees): 5.5114 5.5114 10.8637 90.00 90.00 120.00
Space group P-31c (No. 163)
Asymmetric unit:
Sr 0.0000 0.0000 0.0000 [2 per cell]
Bi 0.3333 0.6667 0.2500 [2 per cell]
Sb 0.3333 0.6667 0.7500 [2 per cell]
O 0.0167 0.3820 0.6436 [12 per cell]

VASP energy: -108.46 eV/cell
ΔE_f (raw): -1.64 eV/atom
calculated volume: 15.88 Å³ per atom



# TcBi2SbO8

A geometry-optimized TcBi2SbO8 structure (PBE, Alexandria via LeMat-Bulk).

Lattice parameters (Å, degrees): 5.128 6.594 5.140 90.00 90.00 90.00
Space group P2/m (No. 10)
Asymmetric unit:
Tc 0.000 0.000 0.000 [1 per cell]
Bi 0.500 0.250 0.500 [2 per cell]
Sb 0.000 0.500 0.000 [1 per cell]
O 0.176 0.252 0.172 [4 per cell]
O 0.247 0.000 0.748 [2 per cell]
O 0.289 0.500 0.708 [2 per cell]

VASP energy: -77.19 eV/cell
ΔE_f (raw): -1.27 eV/atom
calculated volume: 14.49 Å³ per atom



# BiSbTeO6

A geometry-optimized BiSbTeO6 structure (PBE, Alexandria via LeMat-Bulk).

Lattice parameters (Å, degrees): 5.5752 5.5752 9.9217 90.00 90.00 120.00
Space group P-31c (No. 163)
Asymmetric unit:
Bi 0.0000 0.0000 0.0000 [2 per cell]
Sb 0.3333 0.6667 0.2500 [2 per cell]
Te 0.3333 0.6667 0.7500 [2 per cell]
O 0.0236 0.3711 0.1375 [12 per cell]

VASP energy: -102.79 eV/cell
ΔE_f (raw): -1.17 eV/atom
calculated volume: 14.84 Å³ per atom



# BiSb2TeO

A geometry-optimized BiSb2TeO structure (PBE, Alexandria via LeMat-Bulk).

Lattice parameters (Å, degrees): 5.852 5.852 5.889 90.00 90.00 90.00
Space group P4/mmm (No. 123)
Asymmetric unit:
Bi 0.000 0.000 0.000 [1 per cell]
Sb 0.000 0.500 0.000 [2 per cell]
Te 0.000 0.000 0.500 [1 per cell]
O 0.500 0.500 0.500 [1 per cell]

VASP energy: -13.19 eV/cell
distance to the lowest polymorph of the same formula: 1386.7 meV/atom
ΔE_f (raw): 1.41 eV/atom
calculated volume: 40.34 Å³ per atom



# BiSb2TeO

A geometry-optimized BiSb2TeO structure (PBE, Alexandria via LeMat-Bulk).

Lattice parameters (Å, degrees): 4.823 4.823 5.182 90.00 90.00 90.00
Space group P4/mmm (No. 123)
Asymmetric unit:
Bi 0.000 0.000 0.000 [1 per cell]
Sb 0.000 0.500 0.500 [2 per cell]
Te 0.500 0.500 0.000 [1 per cell]
O 0.500 0.500 0.500 [1 per cell]

VASP energy: -20.12 eV/cell
distance to the lowest polymorph of the same formula: 0.0 meV/atom
ΔE_f (raw): 0.02 eV/atom
calculated volume: 24.11 Å³ per atom



# BiSbTeO2

A geometry-optimized BiSbTeO2 structure (PBE, Alexandria via LeMat-Bulk).

Lattice parameters (Å, degrees): 4.154 4.154 6.654 90.00 90.00 90.00
Space group P4/mmm (No. 123)
Asymmetric unit:
Bi 0.000 0.000 0.000 [1 per cell]
Sb 0.000 0.000 0.500 [1 per cell]
Te 0.500 0.500 0.000 [1 per cell]
O 0.000 0.500 0.500 [2 per cell]

VASP energy: -22.87 eV/cell
ΔE_f (raw): -0.36 eV/atom
calculated volume: 22.97 Å³ per atom



# Tl2BiSbO6

A geometry-optimized Tl2BiSbO6 structure (PBE, Alexandria via LeMat-Bulk).

Lattice parameters (Å, degrees): 5.8049 5.8049 16.3585 90.00 90.00 120.00
Space group R3 (No. 146, hexagonal axes)
Asymmetric unit:
Tl 0.0000 0.0000 0.0000 [3 per cell]
Tl 0.0000 0.0000 0.4631 [3 per cell]
Bi 0.0000 0.0000 0.2102 [3 per cell]
Sb 0.0000 0.0000 0.6930 [3 per cell]
O 0.0057 0.4430 0.4251 [9 per cell]
O 0.0575 0.6934 0.2821 [9 per cell]

VASP energy: -157.89 eV/cell
ΔE_f (raw): -1.01 eV/atom
calculated volume: 15.91 Å³ per atom



# TlBiSbO6

A geometry-optimized TlBiSbO6 structure (PBE, Alexandria via LeMat-Bulk).

Lattice parameters (Å, degrees): 5.5905 5.5905 9.4400 90.00 90.00 120.00
Space group P-31c (No. 163)
Asymmetric unit:
Tl 0.3333 0.6667 0.2500 [2 per cell]
Bi 0.0000 0.0000 0.0000 [2 per cell]
Sb 0.3333 0.6667 0.7500 [2 per cell]
O 0.0333 0.3631 0.6309 [12 per cell]

VASP energy: -98.39 eV/cell
ΔE_f (raw): -1.01 eV/atom
calculated volume: 14.20 Å³ per atom



# Tl3BiSb2O8

A geometry-optimized Tl3BiSb2O8 structure (PBE, Alexandria via LeMat-Bulk).

Lattice parameters (Å, degrees): 6.2918 6.2918 7.9861 90.00 90.00 120.00
Space group P-3m1 (No. 164)
Asymmetric unit:
Tl 0.0000 0.0000 0.0000 [1 per cell]
Tl 0.3333 0.6667 0.6972 [2 per cell]
Bi 0.0000 0.0000 0.5000 [1 per cell]
Sb 0.3333 0.6667 0.2321 [2 per cell]
O 0.1678 0.3357 0.3155 [6 per cell]
O 0.3333 0.6667 0.9967 [2 per cell]

VASP energy: -73.44 eV/cell
ΔE_f (raw): -1.04 eV/atom
calculated volume: 19.56 Å³ per atom